Compound: RbTlBr2
Source: the Alexandria database
Functional: PBE-GGA
Structure: optimized geometry

Crystal system: trigonal
Energy relative to the elements, uncorrected: -1104 meV per atom
Offset from the most stable computed form: 200 meV per atom
Calculated total energy: -2.774 eV/atom

Cell lengths 10.1470, 10.1470, 10.1470 Å; angles 29.74, 29.74, 29.74 degrees
Element x y z (fractional)
Rb (0.0000, 0.0000, 0.0000)
Tl (0.5000, 0.5000, 0.5000)
Br (0.3964, 0.3964, 0.3964)
Br (0.6036, 0.6036, 0.6036)

---

Compound: LiAl2Tc
Source: the Alexandria database
Functional: PBE-GGA
Structure: optimized geometry

Crystal system: orthorhombic
Formation energy: 43 meV/atom
Offset from the most stable computed form: 353 meV per atom
Calculated total energy: -4.898 eV/atom

Cell lengths 2.7036, 2.7036, 8.7598 Å; angles 90.00, 90.00, 106.84 degrees
Element x y z (fractional)
Li (0.0000, 0.0000, 0.0000)
Al (0.0000, 0.0000, 0.5188)
Al (0.5000, 0.5000, 0.2619)
Tc (0.5000, 0.5000, 0.7483)

---

Compound: NbP2OsCl
Source: the Alexandria database
Functional: PBE-GGA
Structure: optimized geometry

Crystal system: tetragonal
Energy relative to the elements, uncorrected: 1715 meV per atom
Offset from the most stable computed form: 826 meV per atom
Calculated total energy: -5.078 eV/atom

Cell lengths 4.4271, 4.4271, 4.4525 Å; angles 90.00, 90.00, 90.00 degrees
Element x y z (fractional)
Nb (0.0000, 0.0000, 0.0000)
P (0.0000, 0.5000, 0.5000)
P (0.5000, 0.0000, 0.5000)
Os (0.5000, 0.5000, 0.0000)
Cl (0.0000, 0.0000, 0.5000)

---

Compound: KBe2Tc
Source: the Alexandria database
Functional: PBE-GGA
Structure: optimized geometry

Crystal system: tetragonal
Formation energy: 1407 meV/atom
Offset from the most stable computed form: 1016 meV per atom
Calculated total energy: -3.322 eV/atom

Cell lengths 5.0775, 5.0775, 5.0775 Å; angles 136.65, 136.65, 62.98 degrees
Element x y z (fractional)
K (0.0000, 0.0000, 0.0000)
Be (0.5000, 0.5000, 0.0000)
Be (0.7500, 0.2500, 0.5000)
Tc (0.2500, 0.7500, 0.5000)

---

Compound: Ho12Al5Cd2
Source: the Alexandria database
Functional: PBE-GGA
Structure: optimized geometry

Crystal system: monoclinic
Formation energy: -51 meV/atom
Calculated total energy: -4.023 eV/atom

Cell lengths 8.5874, 8.5874, 8.3312 Å; angles 93.02, 93.02, 58.44 degrees
Element x y z (fractional)
Ho (0.0415, 0.0415, 0.1933)
Ho (0.0830, 0.6375, 0.0897)
Ho (0.1283, 0.5279, 0.6626)
Ho (0.3625, 0.9170, 0.9103)
Ho (0.4404, 0.4404, 0.3396)
Ho (0.4721, 0.8717, 0.3374)
Ho (0.5279, 0.1283, 0.6626)
Ho (0.5596, 0.5596, 0.6604)
Ho (0.6375, 0.0830, 0.0897)
Ho (0.8717, 0.4721, 0.3374)
Ho (0.9170, 0.3625, 0.9103)
Ho (0.9585, 0.9585, 0.8067)
Al (0.1542, 0.1542, 0.5776)
Al (0.2434, 0.2434, 0.1792)
Al (0.5000, 0.5000, 0.0000)
Al (0.7566, 0.7566, 0.8208)
Al (0.8458, 0.8458, 0.4224)
Cd (0.1856, 0.8144, 0.5000)
Cd (0.8144, 0.1856, 0.5000)

---

Compound: Sc2AgTe
Source: the Alexandria database
Functional: PBE-GGA
Structure: optimized geometry

Crystal system: tetragonal
Energy relative to the elements, uncorrected: -553 meV per atom
Calculated total energy: -5.217 eV/atom

Cell lengths 3.9202, 3.9202, 5.9748 Å; angles 90.00, 90.00, 90.00 degrees
Element x y z (fractional)
Sc (0.0000, 0.0000, 0.0000)
Sc (0.5000, 0.5000, 0.3149)
Ag (0.5000, 0.5000, 0.8302)
Te (0.0000, 0.0000, 0.4953)

---

Compound: AgBr
Source: the Alexandria database
Functional: PBE-GGA
Structure: optimized geometry

Crystal system: cubic
Energy relative to the elements, uncorrected: -302 meV per atom
Calculated total energy: -2.564 eV/atom

Cell lengths 4.1290, 4.1290, 4.1290 Å; angles 60.00, 60.00, 60.00 degrees
Element x y z (fractional)
Ag (0.0000, 0.0000, 0.0000)
Br (0.5000, 0.5000, 0.5000)

---

Compound: LaBiPd3
Source: the Alexandria database
Functional: PBE-GGA
Structure: optimized geometry

Crystal system: cubic
Formation energy: 361 meV/atom
Offset from the most stable computed form: 929 meV per atom
Calculated total energy: -4.516 eV/atom

Cell lengths 5.1646, 5.1646, 5.1646 Å; angles 90.00, 90.00, 90.00 degrees
Element x y z (fractional)
La (0.0000, 0.0000, 0.0000)
Bi (0.5000, 0.5000, 0.5000)
Pd (0.0000, 0.0000, 0.5000)
Pd (0.0000, 0.5000, 0.0000)
Pd (0.5000, 0.0000, 0.0000)

---

Compound: LiHf2PdN
Source: the Alexandria database
Functional: PBE-GGA
Structure: optimized geometry

Crystal system: tetragonal
Energy relative to the elements, uncorrected: -900 meV per atom
Calculated total energy: -7.968 eV/atom

Cell lengths 4.4075, 4.4075, 3.8394 Å; angles 90.00, 90.00, 90.00 degrees
Element x y z (fractional)
Li (0.0000, 0.0000, 0.0000)
Hf (0.0000, 0.5000, 0.5000)
Hf (0.5000, 0.0000, 0.5000)
Pd (0.5000, 0.5000, 0.0000)
N (0.0000, 0.0000, 0.5000)

---

Compound: Cd2BSbS
Source: the Alexandria database
Functional: PBE-GGA
Structure: optimized geometry

Crystal system: tetragonal
Energy relative to the elements, uncorrected: 1308 meV per atom
Calculated total energy: -2.044 eV/atom

Cell lengths 5.5853, 5.5853, 5.1751 Å; angles 90.00, 90.00, 90.00 degrees
Element x y z (fractional)
Cd (0.0000, 0.5000, 0.0000)
Cd (0.5000, 0.0000, 0.0000)
B (0.0000, 0.0000, 0.5000)
Sb (0.5000, 0.5000, 0.0000)
S (0.5000, 0.5000, 0.5000)

---

Compound: Tb2FeRu
Source: the Alexandria database
Functional: PBE-GGA
Structure: optimized geometry

Crystal system: trigonal
Formation energy: 516 meV/atom
Calculated total energy: -6.234 eV/atom

Cell lengths 9.7316, 9.7316, 9.7316 Å; angles 19.47, 19.47, 19.47 degrees
Element x y z (fractional)
Tb (0.0946, 0.0946, 0.0946)
Tb (0.9054, 0.9054, 0.9054)
Fe (0.0000, 0.0000, 0.0000)
Ru (0.5000, 0.5000, 0.5000)

---

Compound: KTcCl2
Source: the Alexandria database
Functional: PBE-GGA
Structure: optimized geometry

Crystal system: orthorhombic
Energy relative to the elements, uncorrected: -259 meV per atom
Offset from the most stable computed form: 162 meV per atom
Calculated total energy: -4.048 eV/atom

Cell lengths 3.4712, 4.4049, 7.0597 Å; angles 90.00, 90.00, 90.00 degrees
Element x y z (fractional)
K (0.0000, 0.0000, 0.0000)
Tc (0.5000, 0.5000, 0.5227)
Cl (0.0000, 0.0000, 0.5621)
Cl (0.5000, 0.5000, 0.1545)

---

Compound: Pr3Sm8In2
Source: the Alexandria database
Functional: PBE-GGA
Structure: optimized geometry

Crystal system: orthorhombic
Formation energy: 28 meV/atom
Calculated total energy: -4.400 eV/atom

Cell lengths 10.3213, 10.3213, 5.7114 Å; angles 90.00, 90.00, 132.45 degrees
Element x y z (fractional)
Pr (0.0000, 0.0000, 0.0000)
Pr (0.2985, 0.2985, 0.5000)
Pr (0.7015, 0.7015, 0.5000)
Sm (0.1300, 0.8700, 0.5000)
Sm (0.1736, 0.4144, 0.0000)
Sm (0.3183, 0.6817, 0.5000)
Sm (0.4144, 0.1736, 0.0000)
Sm (0.5856, 0.8264, 0.0000)
Sm (0.6817, 0.3183, 0.5000)
Sm (0.8264, 0.5856, 0.0000)
Sm (0.8700, 0.1300, 0.5000)
In (0.2318, 0.7682, 0.0000)
In (0.7682, 0.2318, 0.0000)

---

Compound: Sm3PuO
Source: the Alexandria database
Functional: PBE-GGA
Structure: optimized geometry

Crystal system: cubic
Energy relative to the elements, uncorrected: -955 meV per atom
Calculated total energy: -7.645 eV/atom

Cell lengths 4.9990, 4.9990, 4.9990 Å; angles 90.00, 90.00, 90.00 degrees
Element x y z (fractional)
Sm (0.0000, 0.0000, 0.5000)
Sm (0.0000, 0.5000, 0.0000)
Sm (0.5000, 0.0000, 0.0000)
Pu (0.5000, 0.5000, 0.5000)
O (0.0000, 0.0000, 0.0000)

---

Compound: KFeSi2
Source: the Alexandria database
Functional: PBE-GGA
Structure: optimized geometry

Crystal system: tetragonal
Energy relative to the elements, uncorrected: 98 meV per atom
Offset from the most stable computed form: 52 meV per atom
Calculated total energy: -5.004 eV/atom

Cell lengths 7.3926, 7.3926, 7.3926 Å; angles 133.00, 133.00, 68.66 degrees
Element x y z (fractional)
K (0.3750, 0.6250, 0.7500)
K (0.6250, 0.3750, 0.2500)
Fe (0.1250, 0.8750, 0.2500)
Fe (0.8750, 0.1250, 0.7500)
Si (0.0000, 0.0000, 0.0000)
Si (0.0000, 0.0000, 0.5000)
Si (0.0000, 0.5000, 0.0000)
Si (0.5000, 0.0000, 0.5000)

---

Compound: Tl2MoBr
Source: the Alexandria database
Functional: PBE-GGA
Structure: optimized geometry

Crystal system: orthorhombic
Energy relative to the elements, uncorrected: 687 meV per atom
Offset from the most stable computed form: 416 meV per atom
Calculated total energy: -3.623 eV/atom

Cell lengths 3.5677, 5.1085, 5.8659 Å; angles 90.00, 90.00, 90.00 degrees
Element x y z (fractional)
Tl (0.0000, 0.0000, 0.0000)
Tl (0.5000, 0.0000, 0.5000)
Mo (0.0000, 0.5000, 0.5000)
Br (0.5000, 0.5000, 0.0000)

---

Compound: Sm2Bi2H
Source: the Alexandria database
Functional: PBE-GGA
Structure: optimized geometry

Crystal system: orthorhombic
Calculated total energy: -4.774 eV/atom

Cell lengths 9.7428, 9.7428, 6.4474 Å; angles 90.00, 90.00, 153.65 degrees
Element x y z (fractional)
Sm (0.0930, 0.9070, 0.5000)
Sm (0.3369, 0.6631, 0.5569)
Sm (0.6631, 0.3369, 0.0569)
Sm (0.9070, 0.0930, 0.0000)
Bi (0.2871, 0.7129, 0.0489)
Bi (0.4936, 0.5064, 0.2783)
Bi (0.5064, 0.4936, 0.7783)
Bi (0.7129, 0.2871, 0.5489)
H (0.1266, 0.8734, 0.1650)
H (0.8734, 0.1266, 0.6650)

---

Compound: CaNb2Ag
Source: the Alexandria database
Functional: PBE-GGA
Structure: optimized geometry

Crystal system: cubic
Formation energy: 866 meV/atom
Offset from the most stable computed form: 229 meV per atom
Calculated total energy: -5.382 eV/atom

Cell lengths 4.8432, 4.8432, 4.8432 Å; angles 60.00, 60.00, 60.00 degrees
Element x y z (fractional)
Ca (0.0000, 0.0000, 0.0000)
Nb (0.2500, 0.2500, 0.2500)
Nb (0.7500, 0.7500, 0.7500)
Ag (0.5000, 0.5000, 0.5000)

---

Compound: La2SnIrN
Source: the Alexandria database
Functional: PBE-GGA
Structure: optimized geometry

Crystal system: tetragonal
Energy relative to the elements, uncorrected: -758 meV per atom
Calculated total energy: -6.967 eV/atom

Cell lengths 5.4292, 5.4292, 3.8945 Å; angles 90.00, 90.00, 90.00 degrees
Element x y z (fractional)
La (0.0000, 0.5000, 0.0000)
La (0.5000, 0.0000, 0.0000)
Sn (0.0000, 0.0000, 0.5000)
Ir (0.5000, 0.5000, 0.5000)
N (0.5000, 0.5000, 0.0000)

---

Compound: BeOsAu2
Source: the Alexandria database
Functional: PBE-GGA
Structure: optimized geometry

Crystal system: tetragonal
Formation energy: 375 meV/atom
Calculated total energy: -5.003 eV/atom

Cell lengths 2.8614, 2.8614, 7.0679 Å; angles 90.00, 90.00, 90.00 degrees
Element x y z (fractional)
Be (0.0000, 0.0000, 0.0000)
Os (0.0000, 0.0000, 0.5000)
Au (0.5000, 0.5000, 0.2115)
Au (0.5000, 0.5000, 0.7885)

---

Compound: Nd2ScGa
Source: the Alexandria database
Functional: PBE-GGA
Structure: optimized geometry

Crystal system: cubic
Formation energy: -141 meV/atom
Offset from the most stable computed form: 95 meV per atom
Calculated total energy: -4.864 eV/atom

Cell lengths 5.3389, 5.3389, 5.3389 Å; angles 60.00, 60.00, 60.00 degrees
Element x y z (fractional)
Nd (0.2500, 0.2500, 0.2500)
Nd (0.7500, 0.7500, 0.7500)
Sc (0.0000, 0.0000, 0.0000)
Ga (0.5000, 0.5000, 0.5000)

---

Compound: LiSm2In2
Source: the Alexandria database
Functional: PBE-GGA
Structure: optimized geometry

Crystal system: orthorhombic
Formation energy: -199 meV/atom
Calculated total energy: -3.565 eV/atom

Cell lengths 8.0127, 8.0127, 8.0127 Å; angles 130.57, 70.72, 132.83 degrees
Element x y z (fractional)
Li (0.2500, 0.2500, 0.0000)
Li (0.7500, 0.7500, 0.0000)
Sm (0.1543, 0.7170, 0.8713)
Sm (0.3457, 0.2170, 0.5628)
Sm (0.6543, 0.7830, 0.4372)
Sm (0.8457, 0.2830, 0.1287)
In (0.1037, 0.2422, 0.3458)
In (0.3963, 0.7422, 0.1385)
In (0.6037, 0.2578, 0.8615)
In (0.8963, 0.7578, 0.6542)

---

Compound: KLa2Pb
Source: the Alexandria database
Functional: PBE-GGA
Structure: optimized geometry

Crystal system: cubic
Formation energy: 151 meV/atom
Calculated total energy: -3.515 eV/atom

Cell lengths 5.8801, 5.8801, 5.8801 Å; angles 60.00, 60.00, 60.00 degrees
Element x y z (fractional)
K (0.0000, 0.0000, 0.0000)
La (0.5000, 0.5000, 0.5000)
La (0.7500, 0.7500, 0.7500)
Pb (0.2500, 0.2500, 0.2500)

---

Compound: Li5Ga2Sn4
Source: the Alexandria database
Functional: PBE-GGA
Structure: optimized geometry

Crystal system: orthorhombic
Formation energy: -279 meV/atom
Calculated total energy: -3.155 eV/atom

Cell lengths 7.7438, 17.3360, 3.2178 Å; angles 90.00, 90.00, 90.00 degrees
Element x y z (fractional)
Li (0.0000, 0.0000, 0.0000)
Li (0.1295, 0.4316, 0.0000)
Li (0.2291, 0.2149, 0.0000)
Li (0.2709, 0.7149, 0.0000)
Li (0.3705, 0.9316, 0.0000)
Li (0.5000, 0.5000, 0.0000)
Li (0.6295, 0.0684, 0.0000)
Li (0.7291, 0.2851, 0.0000)
Li (0.7709, 0.7851, 0.0000)
Li (0.8705, 0.5684, 0.0000)
Ga (0.0303, 0.3069, 0.5000)
Ga (0.4697, 0.8069, 0.5000)
Ga (0.5303, 0.1931, 0.5000)
Ga (0.9697, 0.6931, 0.5000)
Sn (0.0921, 0.8503, 0.5000)
Sn (0.2107, 0.5700, 0.5000)
Sn (0.2893, 0.0700, 0.5000)
Sn (0.4079, 0.3503, 0.5000)
Sn (0.5921, 0.6497, 0.5000)
Sn (0.7107, 0.9300, 0.5000)
Sn (0.7893, 0.4300, 0.5000)
Sn (0.9079, 0.1497, 0.5000)

---

Compound: NiTePdI2
Source: the Alexandria database
Functional: PBE-GGA
Structure: optimized geometry

Crystal system: tetragonal
Energy relative to the elements, uncorrected: 742 meV per atom
Offset from the most stable computed form: 198 meV per atom
Calculated total energy: -2.701 eV/atom

Cell lengths 5.3760, 5.3760, 5.2261 Å; angles 90.00, 90.00, 90.00 degrees
Element x y z (fractional)
Ni (0.0000, 0.0000, 0.0000)
Te (0.5000, 0.5000, 0.0000)
Pd (0.5000, 0.5000, 0.5000)
I (0.0000, 0.5000, 0.5000)
I (0.5000, 0.0000, 0.5000)

---

Compound: Ni2RuBr
Source: the Alexandria database
Functional: PBE-GGA
Structure: optimized geometry

Crystal system: orthorhombic
Energy relative to the elements, uncorrected: 743 meV per atom
Offset from the most stable computed form: 258 meV per atom
Calculated total energy: -4.885 eV/atom

Cell lengths 4.5830, 4.5830, 2.8577 Å; angles 90.00, 90.00, 111.67 degrees
Element x y z (fractional)
Ni (0.0000, 0.5000, 0.0000)
Ni (0.5000, 0.0000, 0.0000)
Ru (0.0000, 0.0000, 0.5000)
Br (0.5000, 0.5000, 0.5000)